Material: Ac2Al4Zn3Hg
Method: DFT, PBE
State: relaxed

Calculated values
Energy of formation = -378 meV/atom
DOS at the Fermi energy = 2.57 states/eV/cell
Calculated total energy = -3.1087 eV per atom
Size of the total moment = 0.00 μB/cell

Cell lengths 4.4782, 4.4782, 10.9929 Å; angles 90.00, 90.00, 90.00 degrees
With the nearest neighbours (Å) after each atom.
Space group P-4m2 (No. 115)
One atom of each set of equivalent atoms:
Ac  0.0000  0.5000  0.2455 x2  6 Zn 3.41-3.58, 8 Al 3.42-3.51, 2 Hg 3.58
Al  0.0000  0.0000  0.0000 x1  4 Zn 2.66
Al  0.0000  0.5000  0.6371 x2  3 Zn 2.56-2.70, 2 Hg 2.70
Al  0.5000  0.5000  0.0000 x1  4 Zn 2.66
Zn  0.0000  0.5000  0.8701 x2  5 Al 2.56-2.66
Zn  0.5000  0.5000  0.5000 x1  4 Al 2.70
Hg  0.0000  0.0000  0.5000 x1  4 Al 2.70

Material: Sr3TaSb
Method: DFT, PBE
State: relaxed

Calculated values
Raw formation energy = 0.831 eV per atom
DOS at the Fermi energy = 7.16 states/eV/cell
Calculated total energy = -3.3736 eV per atom
Energy above the most stable polymorph in this dataset = 0.150 eV/atom
Size of the total moment = 0.00 μB/cell

Cell lengths 5.7908, 5.7908, 5.7908 Å; angles 90.00, 90.00, 90.00 degrees
With the nearest neighbours (Å) after each atom.
Space group Pm-3m (No. 221)
One atom of each set of equivalent atoms:
Sr  0.0000  0.0000  0.5000 x3  2 Ta 2.90
Ta  0.0000  0.0000  0.0000 x1  6 Sr 2.90
Sb  0.5000  0.5000  0.5000 x1  12 Sr 4.09

Material: InAs2SBr
Method: DFT, PBE
State: relaxed

Calculated values
Raw formation energy = 0.471 eV per atom
DOS at the Fermi energy = 3.71 states/eV/cell
Calculated total energy = -3.0968 eV per atom
Energy above the most stable polymorph in this dataset = 0.000 eV/atom
Size of the total moment = 0.68 μB/cell

Cell lengths 4.9035, 4.9035, 5.4494 Å; angles 90.00, 90.00, 90.00 degrees
With the nearest neighbours (Å) after each atom.
Space group P4/mmm (No. 123)
One atom of each set of equivalent atoms:
In  0.0000  0.0000  0.0000 x1  4 Br 3.47, 8 As 3.67
As  0.0000  0.5000  0.5000 x2  2 S 2.45
S  0.5000  0.5000  0.5000 x1  4 As 2.45, 2 Br 2.72
Br  0.5000  0.5000  0.0000 x1  2 S 2.72

Material: LaThMn4
Method: DFT, PBE
State: relaxed

Calculated values
Energy of formation = 176 meV/atom
DOS at the Fermi energy = 26.67 states/eV/cell
Calculated total energy = -7.9954 eV per atom
Size of the total moment = 31.65 μB/cell

Cell lengths 7.4897, 7.4897, 7.4897 Å; angles 90.00, 90.00, 90.00 degrees
With the nearest neighbours (Å) after each atom.
Space group F-43m (No. 216)
One atom of each set of equivalent atoms:
La  0.0000  0.0000  0.0000 x4  12 Mn 3.11, 4 Th 3.24
Th  0.2500  0.2500  0.2500 x4  12 Mn 3.10, 4 La 3.24
Mn  0.1245  0.1245  0.6245 x16  6 Mn 2.64-2.66

Material: CsYCo2Te
Method: DFT, PBE
State: relaxed

Calculated values
Raw formation energy = 1.423 eV per atom
DOS at the Fermi energy = 6.70 states/eV/cell
Calculated total energy = -3.5109 eV per atom
Size of the total moment = 1.54 μB/cell

Cell lengths 4.7310, 4.7310, 6.6017 Å; angles 90.00, 90.00, 90.00 degrees
With the nearest neighbours (Å) after each atom.
Space group P4/mmm (No. 123)
One atom of each set of equivalent atoms:
Cs  0.0000  0.0000  0.0000 x1  4 Co 2.37
Y  0.5000  0.5000  0.5000 x1  4 Te 3.35
Co  0.0000  0.5000  0.0000 x2  2 Cs 2.37
Te  0.0000  0.0000  0.5000 x1  2 Cs 3.30, 4 Y 3.35

Material: EuScBiPb
Method: DFT, PBE
State: relaxed

Calculated values
Energy of formation = -417 meV/atom
DOS at the Fermi energy = 18.85 states/eV/cell
Calculated total energy = -6.4661 eV per atom
Size of the total moment = 27.43 μB/cell

Cell lengths 7.7272, 7.7272, 7.7272 Å; angles 90.00, 90.00, 90.00 degrees
With the nearest neighbours (Å) after each atom.
Space group F-43m (No. 216)
One atom of each set of equivalent atoms:
Eu  0.0000  0.0000  0.0000 x4  4 Pb 3.35, 4 Bi 3.35
Sc  0.0000  0.0000  0.5000 x4  4 Pb 3.35, 4 Bi 3.35
Bi  0.2500  0.2500  0.2500 x4  4 Sc 3.35, 4 Eu 3.35
Pb  0.2500  0.2500  0.7500 x4  4 Sc 3.35, 4 Eu 3.35

Q: calculated total energy of number 5 (CsYCo2Te)?
A: -3.5109 eV per atom

Copy entry 3 word for word.
Material: InAs2SBr
Method: DFT, PBE
State: relaxed

Calculated values
Raw formation energy = 0.471 eV per atom
DOS at the Fermi energy = 3.71 states/eV/cell
Calculated total energy = -3.0968 eV per atom
Energy above the most stable polymorph in this dataset = 0.000 eV/atom
Size of the total moment = 0.68 μB/cell

Cell lengths 4.9035, 4.9035, 5.4494 Å; angles 90.00, 90.00, 90.00 degrees
With the nearest neighbours (Å) after each atom.
Space group P4/mmm (No. 123)
One atom of each set of equivalent atoms:
In  0.0000  0.0000  0.0000 x1  4 Br 3.47, 8 As 3.67
As  0.0000  0.5000  0.5000 x2  2 S 2.45
S  0.5000  0.5000  0.5000 x1  4 As 2.45, 2 Br 2.72
Br  0.5000  0.5000  0.0000 x1  2 S 2.72

Q: The lowest calculated total energy belongs to which entry?
A: LaThMn4